SrTaP2 PBE-GGA optimized geometry; ΔE_f = 691.7 meV per atom; total magnetization = 0.18 Bohr magnetons per cell; final energy = -5.40 eV/atom; space group = F-43m (216); offset from the most stable computed form = 1526 meV per atom
1.0
4.7389 0.0000 0.0000
2.3694 4.1040 0.0000
2.3694 1.3680 3.8693
P Sr Ta
2 1 1
Cartesian
0.0000 0.0000 0.0000 P
2.3694 1.3680 0.9673 P
4.7389 2.7360 1.9346 Sr
7.1083 4.1040 2.9020 Ta